Entry 1:
First-principles (PBEsol) data for a geometry-optimized ZnCoH2O structure, as listed in Alexandria.

Its crystal system is tetragonal. The total DFT energy (no corrections) comes out at -0.1468 Ha/atom.

Lattice parameters (Å, degrees): 3.0510 3.0510 4.8275 90.00 90.00 90.00
With the nearest neighbours (Å) after each atom.
Fractional positions:
H  0.0000  0.5000  0.0000  2 Zn 1.53
H  0.5000  0.0000  0.0000  2 Zn 1.53
Zn  0.0000  0.0000  0.0000  4 H 1.53
Co  0.5000  0.5000  0.5000  4 O 2.16
O  0.0000  0.0000  0.5000  4 Co 2.16, 2 Zn 2.41



Entry 2:
First-principles (PBEsol) data for a geometry-optimized MnPSe2 structure, as listed in Alexandria.

Its crystal system is cubic. Its uncorrected formation energy is 11.77 kcal/mol of atoms.

Lattice parameters (Å, degrees): 4.5020 4.5020 4.5020 60.00 60.00 60.00
With the nearest neighbours (Å) after each atom.
Fractional positions:
Mn  0.5000  0.5000  0.5000  4 Se 2.76, 4 P 2.76
P  0.2500  0.2500  0.2500  4 Mn 2.76, 4 Se 2.76
Se  0.0000  0.0000  0.0000  4 P 2.76, 4 Se 2.76
Se  0.7500  0.7500  0.7500  4 Mn 2.76, 4 Se 2.76



Entry 3:
First-principles (PBEsol) data for a geometry-optimized LiV3O8 structure, as listed in Alexandria.

Its crystal system is monoclinic. Its uncorrected formation energy is -52.41 kcal/mol of atoms.

Lattice parameters (Å, degrees): 3.5626 6.8339 12.4404 107.13 90.00 90.00
With the nearest neighbours (Å) after each atom.
Fractional positions:
Li  0.5000  0.4682  0.0389  4 O 1.98-2.10
Li  0.5000  0.6854  0.3051  2 O 1.89-1.90
V  0.5000  0.7224  0.8028  1 O 1.58
V  0.0000  0.2937  0.4553  1 O 1.57
V  0.5000  0.8737  0.0726  2 O 1.64-1.71
V  0.0000  0.1143  0.9253  1 O 1.58
V  0.5000  0.6710  0.5527  2 O 1.61-1.74
V  0.0000  0.2639  0.1992  2 O 1.64-1.82
O  0.0000  0.8047  0.8330  3 V 1.87-2.09
O  0.5000  0.6699  0.9530  1 V 1.71
O  0.5000  0.3823  0.4552  3 V 1.88-1.99
O  0.5000  0.4903  0.7284  1 V 1.58
O  0.0000  0.1414  0.3112  2 V 1.79-1.82
O  0.0000  0.9542  0.0742  2 V 1.86
O  0.0000  0.1421  0.5292  1 V 1.57
O  0.0000  0.2250  0.8303  1 V 1.58
O  0.5000  0.7487  0.1666  1 V 1.64
O  0.5000  0.8002  0.4635  1 V 1.61
O  0.5000  0.0449  0.9392  2 V 1.86
O  0.5000  0.8431  0.6869  2 V 1.74-1.86
O  0.0000  0.5055  0.2737  1 V 1.64
O  0.0000  0.5809  0.5536  3 V 1.89-1.98
O  0.0000  0.3285  0.0520  2 V 1.81-2.01
O  0.5000  0.1939  0.1700  2 V 1.85



Entry 4:
First-principles (PBEsol) data for a geometry-optimized TaGeSbS2 structure, as listed in Alexandria.

Its crystal system is tetragonal. Its uncorrected formation energy is 30.06 kcal/mol of atoms.

Lattice parameters (Å, degrees): 4.8628 4.8628 5.3494 90.00 90.00 90.00
With the nearest neighbours (Å) after each atom.
Fractional positions:
Sb  0.0000  0.0000  0.0000  4 S 2.43, 2 Ta 2.67
Ge  0.5000  0.5000  0.5000  4 Ta 3.44, 8 S 3.61
S  0.0000  0.5000  0.0000  2 Sb 2.43
S  0.5000  0.0000  0.0000  2 Sb 2.43
Ta  0.0000  0.0000  0.5000  2 Sb 2.67



In order of appearance, calculated density = 5.26; 6.28; 3.30; 5.77 g/cm3.